VASP calculation (GGA-PBE) on LiCa2Pb after structural relaxation.

Cell lengths 10.8310, 10.8310, 10.8310 Å; angles 20.14, 20.14, 20.14 degrees
Closest atoms and distances in Å follow each position.
Sites, in units of the cell vectors:
Pb (0.7500, 0.7500, 0.7500)  6 Ca 3.35
Li (0.2500, 0.2500, 0.2500)  6 Ca 3.53, 6 Li 3.79
Ca (0.0038, 0.0038, 0.0038)  3 Pb 3.35, 3 Li 3.53
Ca (0.4962, 0.4962, 0.4962)  3 Pb 3.35, 3 Li 3.53

Properties
* size of the total moment: 0.00 μB per cell
* V: 132 Å³/cell
* energy relative to the elements: -0.51 eV per formula unit
* SG: R-3m (166)
* DOS(E_F): 0.9769 states/eV/atom

***

VASP calculation (GGA-PBE) on LiCa4Pb after structural relaxation.

Cell lengths 6.8725, 6.8725, 6.8725 Å; angles 60.00, 60.00, 60.00 degrees
Closest atoms and distances in Å follow each position.
Sites, in units of the cell vectors:
Ca (0.3742, 0.3742, 0.8774)  6 Ca 3.41-3.46
Ca (0.3742, 0.8774, 0.3742)  6 Ca 3.41-3.46
Pb (0.0000, 0.0000, 0.0000)  12 Ca 4.03, 4 Li 4.21
Ca (0.8774, 0.3742, 0.3742)  6 Ca 3.41-3.46
Li (0.7500, 0.7500, 0.7500)  12 Ca 4.03, 4 Pb 4.21
Ca (0.3742, 0.3742, 0.3742)  6 Ca 3.41-3.46

Properties
* size of the total moment: 0.00 μB per cell
* V: 230 Å³/cell
* energy relative to the elements: 1.17 eV per formula unit
* SG: F-43m (216)
* DOS(E_F): 0.9939 states/eV/atom

***

VASP calculation (GGA-PBE) on Li4CaPb5 after structural relaxation.

Cell lengths 3.6273, 3.6273, 18.3820 Å; angles 90.00, 90.00, 90.00 degrees
Closest atoms and distances in Å follow each position.
Sites, in units of the cell vectors:
Pb (0.5000, 0.5000, 0.1225)  4 Li 3.08, 4 Ca 3.41, 1 Pb 3.44
Ca (0.0000, 0.0000, 0.0000)  8 Pb 3.41, 4 Ca 3.63
Pb (0.5000, 0.5000, 0.3094)  8 Li 3.09-3.11, 1 Pb 3.44
Li (0.0000, 0.0000, 0.2156)  8 Pb 3.08-3.09
Li (0.0000, 0.0000, 0.4051)  8 Pb 3.10-3.11
Li (0.0000, 0.0000, 0.7844)  8 Pb 3.08-3.09
Li (0.0000, 0.0000, 0.5949)  8 Pb 3.10-3.11
Pb (0.5000, 0.5000, 0.6906)  8 Li 3.09-3.11, 1 Pb 3.44
Pb (0.5000, 0.5000, 0.5000)  8 Li 3.10
Pb (0.5000, 0.5000, 0.8775)  4 Li 3.08, 4 Ca 3.41, 1 Pb 3.44

Properties
* size of the total moment: 0.00 μB per cell
* V: 242 Å³/cell
* energy relative to the elements: -3.09 eV per formula unit
* SG: P4/mmm (123)
* DOS(E_F): 0.5070 states/eV/atom

***

VASP calculation (GGA-PBE) on LiCaPb2 after structural relaxation.

Cell lengths 3.6988, 3.8847, 7.4005 Å; angles 90.00, 90.00, 90.00 degrees
Closest atoms and distances in Å follow each position.
Sites, in units of the cell vectors:
Pb (0.0000, 0.0000, 0.9681)  4 Li 3.13, 1 Pb 3.23, 4 Ca 3.40
Li (0.5000, 0.5000, 0.7500)  8 Pb 3.13
Ca (0.5000, 0.5000, 0.2500)  8 Pb 3.40, 2 Ca 3.70, 2 Li 3.70
Pb (0.0000, 0.0000, 0.5319)  4 Li 3.13, 1 Pb 3.23, 4 Ca 3.40

Properties
* size of the total moment: 0.00 μB per cell
* V: 106 Å³/cell
* energy relative to the elements: -1.54 eV per formula unit
* SG: Pmmm (47)
* DOS(E_F): 0.3667 states/eV/atom